A relaxed NiPAu2 crystal. Source: Alexandria via LeMat-Bulk, functional PBE.

Cell: 3.9288 3.9288 6.0190 Å, 85.00 85.00 46.15°
Fractional positions:
Ni 0.4956 0.4956 0.4253
P 0.2036 0.2036 0.3472
Au 0.0312 0.0312 0.0162
Au 0.7695 0.7695 0.7113

Calculated values
total magnetic moment	0.00	μB/atom
energy relative to the elements	0.12	eV/f.u.
calculated total energy	-17.6	eV per formula unit
SG	Cm (8)
DOS at the Fermi energy	2.17	states/eV/cell

A relaxed NiP2Au crystal. Source: Alexandria via LeMat-Bulk, functional PBE.

Cell: 6.1381 6.1381 6.1381 Å, 33.13 33.13 33.13°
Fractional positions:
Au 0.2500 0.2500 0.2500
Ni 0.7500 0.7500 0.7500
P 0.0195 0.0195 0.0195
P 0.4805 0.4805 0.4805

Calculated values
excess energy over the best structure of this formula in the dataset	154	meV per atom
total magnetic moment	0.00	μB/atom
energy relative to the elements	0.26	eV/f.u.
calculated total energy	-19.6	eV per formula unit
SG	R-3m (166)
DOS at the Fermi energy	1.68	states/eV/cell